The following is a DFT calculation (GGA-PBE) of a relaxed structure of YAgRh2Se.

a b c (Å): 4.8359 4.8359 5.3054
angles (deg): 90.00 90.00 90.00
Space group P4/mmm (No. 123)
Inequivalent atoms, fractional coordinates:
Y 0.0000 0.0000 0.0000 [1 per cell]
Ag 0.0000 0.0000 0.5000 [1 per cell]
Rh 0.0000 0.5000 0.5000 [2 per cell]
Se 0.5000 0.5000 0.0000 [1 per cell]

Output
Magnetization   0.000 μB/atom
ΔE_f (raw)   785 meV per atom


The following is a DFT calculation (GGA-PBE) of a relaxed structure of Zn2AgRhSe.

a b c (Å): 4.8297 4.8297 4.7414
angles (deg): 90.00 90.00 90.00
Space group P4/mmm (No. 123)
Inequivalent atoms, fractional coordinates:
Zn 0.0000 0.5000 0.0000 [2 per cell]
Ag 0.0000 0.0000 0.5000 [1 per cell]
Rh 0.5000 0.5000 0.0000 [1 per cell]
Se 0.5000 0.5000 0.5000 [1 per cell]

Output
Magnetization   0.000 μB/atom
ΔE_f (raw)   264 meV per atom


The following is a DFT calculation (GGA-PBE) of a relaxed structure of SiAgRh2.

a b c (Å): 6.1769 6.1769 6.1769
angles (deg): 90.00 90.00 90.00
Space group F-43m (No. 216)
Inequivalent atoms, fractional coordinates:
Si 0.0000 0.0000 0.0000 [4 per cell]
Ag 0.2500 0.2500 0.7500 [4 per cell]
Rh 0.0000 0.0000 0.5000 [4 per cell]
Rh 0.2500 0.2500 0.2500 [4 per cell]

Output
Magnetization   0.000 μB/atom
ΔE_f (raw)   76 meV per atom


The following is a DFT calculation (GGA-PBE) of a relaxed structure of SiAg4Rh.

a b c (Å): 7.5717 7.5717 7.5717
angles (deg): 90.00 90.00 90.00
Space group F-43m (No. 216)
Inequivalent atoms, fractional coordinates:
Si 0.0000 0.0000 0.0000 [4 per cell]
Ag 0.1249 0.1249 0.6249 [16 per cell]
Rh 0.2500 0.2500 0.2500 [4 per cell]

Output
Magnetization   0.000 μB/atom
ΔE_f (raw)   542 meV per atom


The following is a DFT calculation (GGA-PBE) of a relaxed structure of Si4AgRh.

a b c (Å): 7.1496 7.1496 7.1496
angles (deg): 90.00 90.00 90.00
Space group F-43m (No. 216)
Inequivalent atoms, fractional coordinates:
Si 0.1243 0.1243 0.3757 [16 per cell]
Ag 0.0000 0.0000 0.0000 [4 per cell]
Rh 0.2500 0.2500 0.7500 [4 per cell]

Output
Magnetization   0.000 μB/atom
ΔE_f (raw)   405 meV per atom


The following is a DFT calculation (GGA-PBE) of a relaxed structure of SiAgRh2.

a b c (Å): 5.5233 8.7364 2.7999
angles (deg): 90.00 118.12 90.00
Space group C2/m (No. 12)
Inequivalent atoms, fractional coordinates:
Si 0.0000 0.0000 0.0000 [2 per cell]
Ag 0.0000 0.5000 0.0000 [2 per cell]
Rh 0.2500 0.2500 0.5000 [4 per cell]

Output
Magnetization   0.000 μB/atom
ΔE_f (raw)   63 meV per atom


The following is a DFT calculation (GGA-PBE) of a relaxed structure of Si2AgRh2.

a b c (Å): 7.1043 7.1043 2.8018
angles (deg): 90.00 90.00 90.00
Space group P4/mbm (No. 127)
Inequivalent atoms, fractional coordinates:
Si 0.1462 0.3538 0.0000 [4 per cell]
Ag 0.0000 0.0000 0.0000 [2 per cell]
Rh 0.1463 0.6463 0.5000 [4 per cell]

Output
Magnetization   0.000 μB/atom
ΔE_f (raw)   -551 meV per atom
ΔE to the lowest computed polymorph   0.000 eV per atom


The following is a DFT calculation (GGA-PBE) of a relaxed structure of SiAgRh2.

a b c (Å): 3.9174 3.9174 7.6041
angles (deg): 90.00 90.00 90.00
Space group I-4m2 (No. 119)
Inequivalent atoms, fractional coordinates:
Si 0.0000 0.0000 0.0000 [2 per cell]
Ag 0.0000 0.5000 0.7500 [2 per cell]
Rh 0.0000 0.0000 0.5000 [2 per cell]
Rh 0.0000 0.5000 0.2500 [2 per cell]

Output
Magnetization   0.000 μB/atom
ΔE_f (raw)   10 meV per atom


The following is a DFT calculation (GGA-PBE) of a relaxed structure of SiAgRh2.

a b c (Å): 2.9101 2.9101 7.0398
angles (deg): 90.00 90.00 90.00
Space group P4mm (No. 99)
Inequivalent atoms, fractional coordinates:
Si 0.0000 0.0000 0.0000 [1 per cell]
Ag 0.5000 0.5000 0.2659 [1 per cell]
Rh 0.0000 0.0000 0.5459 [1 per cell]
Rh 0.5000 0.5000 0.8190 [1 per cell]

Output
Magnetization   0.232 μB/atom
ΔE_f (raw)   -9 meV per atom


The following is a DFT calculation (GGA-PBE) of a relaxed structure of SiAgRh2.

a b c (Å): 2.9063 4.3290 9.3614
angles (deg): 90.00 90.00 90.00
Space group Imm2 (No. 44)
Inequivalent atoms, fractional coordinates:
Si 0.0000 0.0000 0.0000 [2 per cell]
Ag 0.0000 0.5000 0.7311 [2 per cell]
Rh 0.0000 0.0000 0.5214 [2 per cell]
Rh 0.0000 0.5000 0.3047 [2 per cell]

Output
Magnetization   0.000 μB/atom
ΔE_f (raw)   -160 meV per atom


The following is a DFT calculation (GGA-PBE) of a relaxed structure of Si2AgRh2.

a b c (Å): 4.0590 4.0590 9.5670
angles (deg): 90.00 90.00 90.00
Space group I4/mmm (No. 139)
Inequivalent atoms, fractional coordinates:
Si 0.0000 0.0000 0.1217 [4 per cell]
Ag 0.0000 0.0000 0.5000 [2 per cell]
Rh 0.0000 0.5000 0.2500 [4 per cell]

Output
Magnetization   0.000 μB/atom
ΔE_f (raw)   -485 meV per atom
ΔE to the lowest computed polymorph   0.066 eV per atom


The following is a DFT calculation (GGA-PBE) of a relaxed structure of SiAgRh2.

a b c (Å): 2.8954 2.8954 6.9047
angles (deg): 90.00 90.00 90.00
Space group P4/mmm (No. 123)
Inequivalent atoms, fractional coordinates:
Si 0.0000 0.0000 0.0000 [1 per cell]
Ag 0.0000 0.0000 0.5000 [1 per cell]
Rh 0.5000 0.5000 0.2017 [2 per cell]

Output
Magnetization   0.000 μB/atom
ΔE_f (raw)   -454 meV per atom


The calculation returns the following N(E_F) values, one per record and in order: 5.23, 4.12, 24.89, 11.29, 16.12, 4.83, 1.78, 8.66, 4.37, 8.97, 6.68, 2.05 states/eV/cell.